(1)
Compound: Tb4CuSe2Cl
Source: Alexandria
Functional: PBE
Structure: relaxed

Geometry as POSCAR:
```
Tb4CuSe2Cl
1.0
-1.843 -3.110 1.548
-2.393 -1.813 -6.492
4.815 -4.333 -2.975
Tb Cu Se Cl
4 1 2 1
direct
0.000 0.750 0.735
0.000 0.250 0.265
0.500 0.735 0.267
0.500 0.265 0.733
0.000 0.500 0.500
0.000 0.000 0.000
0.500 0.000 0.500
0.500 0.500 0.000
```

Properties
The value obtained for the formation energy from raw total energies is -1.2757 eV/atom. The calculation puts the calculated volume at 23.85 Å³ per atom. As for the space-group type: P2/m, No. 10. The uncorrected energy is -5.205 eV/atom.


(2)
Compound: CuTeSeCl
Source: Alexandria
Functional: PBE
Structure: relaxed

Geometry as POSCAR:
```
CuTeSeCl
1.0
5.068 0.000 0.000
0.000 7.992 -0.135
0.000 5.196 11.090
Cu Te Se Cl
4 4 4 4
direct
0.876 0.826 0.247
0.124 0.174 0.753
0.376 0.174 0.253
0.624 0.826 0.747
0.527 0.715 0.145
0.473 0.285 0.855
0.027 0.285 0.355
0.973 0.715 0.645
0.705 0.409 0.162
0.295 0.591 0.838
0.205 0.591 0.338
0.795 0.409 0.662
0.668 0.937 0.373
0.332 0.063 0.627
0.168 0.063 0.127
0.832 0.937 0.873
```

Properties
The value obtained for the formation energy from raw total energies is -0.3013 eV/atom. The calculation puts the calculated volume at 28.29 Å³ per atom. As for the space-group type: P2_1/c, No. 14. The uncorrected energy is -3.444 eV/atom.


(3)
Compound: CuWSeCl2
Source: Alexandria
Functional: PBE
Structure: relaxed

Geometry as POSCAR:
```
CuWSeCl2
1.0
5.408 0.000 0.000
0.000 4.413 0.000
0.000 0.000 5.408
Cu Se W Cl
1 1 1 2
direct
0.000 0.500 0.000
0.000 0.000 0.000
0.500 0.500 0.500
0.000 0.000 0.500
0.500 0.000 0.000
```

Properties
The value obtained for the formation energy from raw total energies is 1.3707 eV/atom. The calculation puts the calculated volume at 25.81 Å³ per atom. As for the space-group type: P4/mmm, No. 123. The uncorrected energy is -3.475 eV/atom.


(4)
Compound: Zn2CuSeCl
Source: Alexandria
Functional: PBE
Structure: relaxed

Geometry as POSCAR:
```
Zn2CuSeCl
1.0
4.994 0.000 0.000
0.000 4.994 0.000
0.000 0.000 4.288
Zn Cu Se Cl
2 1 1 1
direct
0.000 0.500 0.000
0.500 0.000 0.000
0.000 0.000 0.000
0.500 0.500 0.500
0.000 0.000 0.500
```

Properties
The value obtained for the formation energy from raw total energies is 0.2696 eV/atom. The calculation puts the calculated volume at 21.39 Å³ per atom. As for the space-group type: P4/mmm, No. 123. The uncorrected energy is -2.125 eV/atom.


(5)
Compound: ZrCuSeCl2
Source: Alexandria
Functional: PBE
Structure: relaxed

Geometry as POSCAR:
```
ZrCuSeCl2
1.0
4.967 0.000 0.000
0.000 5.312 0.000
0.000 0.000 4.967
Cu Se Zr Cl
1 1 1 2
direct
0.500 0.500 0.500
0.000 0.500 0.000
0.000 0.000 0.000
0.000 0.000 0.500
0.500 0.000 0.000
```

Properties
The value obtained for the formation energy from raw total energies is -0.5527 eV/atom. The calculation puts the calculated volume at 26.21 Å³ per atom. As for the space-group type: P4/mmm, No. 123. The uncorrected energy is -4.517 eV/atom.


(6)
Compound: CuSiCl6
Source: Alexandria
Functional: PBE
Structure: relaxed

Geometry as POSCAR:
```
CuSiCl6
1.0
5.516 0.256 -0.136
2.931 7.153 0.851
2.652 3.474 5.877
Cu Si Cl
1 1 6
direct
0.500 0.500 0.500
0.000 0.000 0.000
0.130 0.345 0.778
0.808 0.145 0.673
0.649 0.162 0.130
0.192 0.855 0.327
0.870 0.655 0.222
0.351 0.838 0.870
```

Properties
The value obtained for the formation energy from raw total energies is -0.6985 eV/atom. The calculation puts the calculated volume at 26.62 Å³ per atom. As for the space-group type: P-1, No. 2. The uncorrected energy is -3.273 eV/atom.


(7)
Compound: Cu2SiCl
Source: Alexandria
Functional: PBE
Structure: relaxed

Geometry as POSCAR:
```
Cu2SiCl
1.0
-0.106 -6.853 2.356
1.640 -7.054 -0.270
2.972 -6.141 2.446
Cl Cu Si
1 2 1
direct
0.750 0.750 0.750
0.994 0.994 0.994
0.506 0.506 0.506
0.250 0.250 0.250
```

Properties
Its energy above the lowest structure with this stoichiometry is 0.000 kcal/mol of atoms. The value obtained for the formation energy from raw total energies is 0.0027 eV/atom. The calculation puts the calculated volume at 15.17 Å³ per atom. As for the space-group type: R-3m, No. 166. The uncorrected energy is -3.863 eV/atom.


(8)
Compound: CuSi3Cl
Source: Alexandria
Functional: PBE
Structure: relaxed

Geometry as POSCAR:
```
CuSi3Cl
1.0
-4.471 -0.562 1.236
-0.746 -2.536 -3.853
1.135 -3.884 2.337
Si Cu Cl
3 1 1
direct
0.000 0.500 0.000
0.000 0.000 0.500
0.500 0.000 0.000
0.500 0.500 0.500
0.000 0.000 0.000
```

Properties
Its energy above the lowest structure with this stoichiometry is 14.466 kcal/mol of atoms. The value obtained for the formation energy from raw total energies is 1.3483 eV/atom. The calculation puts the calculated volume at 20.40 Å³ per atom. As for the space-group type: Pm-3m, No. 221. The uncorrected energy is -3.094 eV/atom.


(9)
Compound: Cu2SiCl
Source: Alexandria
Functional: PBE
Structure: relaxed

Geometry as POSCAR:
```
Cu2SiCl
1.0
5.468 -0.981 0.573
0.651 5.517 -0.573
-1.477 -4.403 3.103
Cl Cu Si
1 2 1
direct
0.250 0.750 0.500
0.991 0.991 0.000
0.509 0.509 0.000
0.750 0.250 0.500
```

Properties
Its energy above the lowest structure with this stoichiometry is 5.655 kcal/mol of atoms. The value obtained for the formation energy from raw total energies is 0.2479 eV/atom. The calculation puts the calculated volume at 21.00 Å³ per atom. As for the space-group type: Immm, No. 71. The uncorrected energy is -3.618 eV/atom.


(10)
Compound: CuSi2Cl
Source: Alexandria
Functional: PBE
Structure: relaxed

Geometry as POSCAR:
```
CuSi2Cl
1.0
-1.997 -5.512 -1.216
2.828 -4.499 -2.758
-0.566 4.044 4.379
Cl Cu Si
1 1 2
direct
0.750 0.250 0.500
0.250 0.750 0.500
0.048 0.048 0.000
0.452 0.452 0.000
```

Properties
Its energy above the lowest structure with this stoichiometry is 9.625 kcal/mol of atoms. The value obtained for the formation energy from raw total energies is 0.3879 eV/atom. The calculation puts the calculated volume at 16.48 Å³ per atom. As for the space-group type: Immm, No. 71. The uncorrected energy is -3.809 eV/atom.


(11)
Compound: Cu2SiCl
Source: Alexandria
Functional: PBE
Structure: relaxed

Geometry as POSCAR:
```
Cu2SiCl
1.0
-2.626 0.081 1.152
-1.922 -5.956 -3.963
1.170 -2.258 2.826
Cl Cu Si
1 2 1
direct
0.000 0.500 0.500
0.000 0.000 0.000
0.500 0.500 0.000
0.500 0.000 0.500
```

Properties
Its energy above the lowest structure with this stoichiometry is 6.954 kcal/mol of atoms. The value obtained for the formation energy from raw total energies is 0.3042 eV/atom. The calculation puts the calculated volume at 20.19 Å³ per atom. As for the space-group type: Pmmm, No. 47. The uncorrected energy is -3.561 eV/atom.


(12)
Compound: CuSiCl
Source: Alexandria
Functional: PBE
Structure: relaxed

Geometry as POSCAR:
```
CuSiCl
1.0
-2.057 0.988 3.722
-4.289 0.812 -0.026
-2.773 -2.859 1.787
Cl Cu Si
1 1 1
direct
0.500 0.500 0.500
0.250 0.250 0.250
0.000 0.000 0.000
```

Properties
Its energy above the lowest structure with this stoichiometry is 16.686 kcal/mol of atoms. The value obtained for the formation energy from raw total energies is 0.5908 eV/atom. The calculation puts the calculated volume at 19.61 Å³ per atom. As for the space-group type: F-43m, No. 216. The uncorrected energy is -3.198 eV/atom.


(13)
Compound: CuSi2Cl
Source: Alexandria
Functional: PBE
Structure: relaxed

Geometry as POSCAR:
```
CuSi2Cl
1.0
4.433 0.034 0.059
-1.628 4.121 0.049
1.176 2.140 3.704
Cl Cu Si
1 1 2
direct
0.000 0.500 0.500
0.500 0.500 0.000
0.000 0.000 0.000
0.500 0.000 0.500
```

Properties
Its energy above the lowest structure with this stoichiometry is 7.620 kcal/mol of atoms. The value obtained for the formation energy from raw total energies is 0.3010 eV/atom. The calculation puts the calculated volume at 16.73 Å³ per atom. As for the space-group type: I4/mmm, No. 139. The uncorrected energy is -3.896 eV/atom.


(14)
Compound: CuSi2Cl
Source: Alexandria
Functional: PBE
Structure: relaxed

Geometry as POSCAR:
```
CuSi2Cl
1.0
2.966 0.000 0.000
0.000 2.966 0.000
0.000 0.000 7.276
Cl Cu Si
1 1 2
direct
0.500 0.500 0.250
0.500 0.500 0.750
0.000 0.000 0.963
0.000 0.000 0.537
```

Properties
Its energy above the lowest structure with this stoichiometry is 10.032 kcal/mol of atoms. The value obtained for the formation energy from raw total energies is 0.4056 eV/atom. The calculation puts the calculated volume at 16.00 Å³ per atom. As for the space-group type: P4/mmm, No. 123. The uncorrected energy is -3.792 eV/atom.